(1)
## TbTm2Tc (PBE)

Data for a relaxed structure of TbTm2Tc.

Cell and atoms, written as POSCAR:
```
TbTm2Tc
1.0
3.874 -0.161 0.000
-1.690 5.997 0.000
0.000 0.000 9.066
Tb Tm Tc
2 4 2
Cartesian
1.972 0.755 6.799
0.212 5.080 2.266
2.112 4.108 5.131
2.112 4.108 8.468
0.073 1.727 0.598
0.073 1.727 3.935
0.118 2.834 6.799
2.066 3.001 2.266
```

**VASP energy**: -6.112 eV per atom
**Offset from the most stable computed form**: 5 meV/atom
**DFT formation energy**: -0.127 eV/atom
**Symmetry**: Cmcm, No. 63



(2)
## YC (PBE)

Data for a relaxed structure of YC.

Cell and atoms, written as POSCAR:
```
YC
1.0
6.721 0.000 0.000
0.000 6.721 0.000
0.000 0.000 6.721
Y C
6 6
Cartesian
5.041 0.000 3.360
3.360 5.041 0.000
0.000 3.360 1.680
1.680 0.000 3.360
3.360 1.680 0.000
0.000 3.360 5.041
0.000 5.041 3.360
0.000 1.680 3.360
5.041 3.360 0.000
3.360 0.000 5.041
1.680 3.360 0.000
3.360 0.000 1.680
```

**VASP energy**: -7.282 eV per atom
**Offset from the most stable computed form**: 776 meV/atom
**DFT formation energy**: 0.562 eV/atom
**Symmetry**: Pm-3n, No. 223



(3)
## TlTcW2 (PBE)

Data for a relaxed structure of TlTcW2.

Cell and atoms, written as POSCAR:
```
TlTcW2
1.0
5.429 0.001 0.024
4.458 3.099 0.024
1.841 0.577 4.058
W Tc Tl
2 1 1
Cartesian
5.760 1.806 2.105
1.945 0.610 4.006
8.796 2.758 3.080
2.932 0.919 1.027
```

**VASP energy**: -9.035 eV per atom
**Offset from the most stable computed form**: 75 meV/atom
**DFT formation energy**: 0.624 eV/atom
**Symmetry**: Immm, No. 71



(4)
## PrEr5S6 (PBE)

Data for a relaxed structure of PrEr5S6.

Cell and atoms, written as POSCAR:
```
PrEr5S6
1.0
6.652 -0.113 -1.252
-3.602 5.593 -1.252
0.131 0.236 6.761
S Er Pr
6 5 1
Cartesian
0.577 5.223 3.158
0.895 1.609 4.389
2.604 0.492 1.098
2.285 4.107 -0.133
-0.954 2.472 1.098
4.135 3.243 3.158
1.590 2.858 2.128
-0.172 3.684 -1.252
5.075 0.918 2.128
-1.894 4.797 2.128
3.222 1.796 -1.252
0.000 0.000 0.000
```

**VASP energy**: -6.326 eV per atom
**ΔE_f (raw)**: -1963 meV per atom
**Symmetry**: C2/m, No. 12



(5)
## PuTc2C (PBE)

Data for a relaxed structure of PuTc2C.

Cell and atoms, written as POSCAR:
```
PuTc2C
1.0
2.960 0.000 0.000
-1.481 5.107 0.000
0.000 0.000 7.843
Tc Pu C
4 2 2
Cartesian
0.001 3.542 7.307
1.479 1.565 3.386
0.001 3.542 4.457
1.479 1.565 0.536
0.001 0.759 5.882
1.479 4.348 1.961
1.481 3.178 5.882
-0.001 1.929 1.961
```

**VASP energy**: -10.889 eV per atom
**DFT formation energy**: 0.183 eV/atom
**Symmetry**: Cmcm, No. 63



no.,calculated volume (Å³/atom)
1,26.0
2,25.3
3,17.0
4,21.1
5,14.8